# 1
DFT (PBE-GGA) results for an optimized crystal structure of Ac6PrTl3.

Volume ... 41.07 Å³ per atom
Size of the total moment ... 0.00 μB/f.u.
Crystal system ... monoclinic

Cell lengths 5.671, 11.853, 13.128 Å; angles 111.42, 90.00, 90.00 degrees
Element x y z (fractional)
Ac: 0.750 0.367 0.976
Ac: 0.250 0.633 0.024
Ac: 0.750 0.620 0.544
Ac: 0.250 0.118 0.541
Ac: 0.750 0.779 0.871
Ac: 0.750 0.882 0.459
Ac: 0.250 0.042 0.812
Ac: 0.250 0.380 0.456
Ac: 0.750 0.395 0.696
Ac: 0.250 0.221 0.129
Ac: 0.750 0.958 0.188
Ac: 0.250 0.605 0.304
Tl: 0.250 0.909 0.013
Tl: 0.250 0.331 0.810
Tl: 0.750 0.091 0.987
Tl: 0.750 0.669 0.190
Tl: 0.750 0.195 0.421
Tl: 0.250 0.805 0.579
Pr: 0.250 0.615 0.733
Pr: 0.750 0.385 0.267

***

# 2
DFT (PBE-GGA) results for an optimized crystal structure of AcPr9Tl2.

Volume ... 33.88 Å³ per atom
Size of the total moment ... 0.00 μB/f.u.
Crystal system ... tetragonal

Cell lengths 5.095, 5.095, 15.657 Å; angles 90.00, 90.00, 90.00 degrees
Element x y z (fractional)
Pr: 0.000 0.500 0.500
Pr: 0.500 0.000 0.179
Pr: 0.500 0.500 0.342
Pr: 0.500 0.000 0.821
Pr: 0.500 0.000 0.500
Pr: 0.000 0.500 0.821
Pr: 0.000 0.500 0.179
Pr: 0.500 0.500 0.000
Pr: 0.500 0.500 0.658
Tl: 0.000 0.000 0.660
Tl: 0.000 0.000 0.340
Ac: 0.000 0.000 0.000

***

# 3
DFT (PBE-GGA) results for an optimized crystal structure of Ac4Pr3Tl5.

Volume ... 36.01 Å³ per atom
Size of the total moment ... 0.00 μB/f.u.
Crystal system ... monoclinic

Cell lengths 5.927, 9.376, 9.791 Å; angles 109.67, 72.38, 71.58 degrees
Element x y z (fractional)
Tl: 0.938 0.361 0.762
Tl: 0.356 0.094 0.195
Tl: 0.644 0.906 0.805
Tl: 0.500 0.500 0.500
Tl: 0.062 0.639 0.238
Ac: 0.752 0.085 0.411
Ac: 0.248 0.915 0.589
Ac: 0.177 0.744 0.902
Ac: 0.823 0.256 0.098
Pr: 0.412 0.307 0.869
Pr: 0.000 0.500 0.500
Pr: 0.588 0.693 0.131

***

# 4
DFT (PBE-GGA) results for an optimized crystal structure of AcPr5Tl2.

Volume ... 34.76 Å³ per atom
Size of the total moment ... 0.00 μB/f.u.
Crystal system ... orthorhombic

Cell lengths 3.855, 8.765, 8.765 Å; angles 78.30, 77.30, 77.30 degrees
Element x y z (fractional)
Pr: 0.000 0.500 0.500
Pr: 0.639 0.583 0.139
Pr: 0.639 0.139 0.583
Pr: 0.361 0.861 0.417
Pr: 0.361 0.417 0.861
Tl: 0.736 0.764 0.764
Tl: 0.264 0.236 0.236
Ac: 0.000 0.000 0.000

***

Number 1: ΔH_f (0 K) -70 kJ/mol of formula units, E -3.73 eV/atom. Number 2: ΔH_f (0 K) -137 kJ/mol of formula units, E -4.44 eV/atom. Number 3: ΔH_f (0 K) -260 kJ/mol of formula units, E -3.78 eV/atom. Number 4: ΔH_f (0 K) -110 kJ/mol of formula units, E -4.24 eV/atom.